CePrTm2P4 | PBE | relaxed

Results
Final energy ... -53.68 eV per cell
Energy relative to the elements ... -1548 meV per atom
Crystal system ... monoclinic

The structure in CIF format:
```
data_CePrTm2P4
_cell_length_a 6.991
_cell_length_b 4.050
_cell_length_c 7.017
_cell_angle_alpha 90.00
_cell_angle_beta 109.44
_cell_angle_gamma 90.00
_space_group_name_H-M_alt 'P 1 2/m 1'
_space_group_IT_number 10
loop_
_space_group_symop_operation_xyz
'x,y,z'
'-x,-y,-z'
'-x,y,-z'
'x,-y,z'
loop_
_atom_site_label
_atom_site_fract_x
_atom_site_fract_y
_atom_site_fract_z
Ce1 0.000 0.000 0.000
Pr1 0.000 0.500 0.500
Tm1 0.500 0.000 0.500
Tm2 0.500 0.500 0.000
P1 0.260 0.500 0.249
P2 0.262 0.000 0.759
```